Model 1:
! NdDySb2, relaxed, DFT PBE-GGA; values from VASP
&SYSTEM
  ibrav = 0, nat = 8, ntyp = 3
/
ATOMIC_SPECIES
Sb 121.76 Sb.upf
Dy 162.50 Dy.upf
Nd 144.24 Nd.upf
CELL_PARAMETERS angstrom
4.502 0.000 0.000
0.000 4.502 0.000
0.000 0.000 11.450
ATOMIC_POSITIONS angstrom
Sb 2.251 2.251 0.000
Sb 2.251 0.000 3.513
Sb 0.000 2.251 7.937
Sb 0.000 0.000 0.000
Dy 0.000 0.000 5.725
Dy 2.251 2.251 5.725
Nd 2.251 0.000 8.998
Nd 0.000 2.251 2.452
! mass density = 7.88 Mg/m³

Model 2:
! NdDySb2, relaxed, DFT PBE-GGA; values from VASP
&SYSTEM
  ibrav = 0, nat = 4, ntyp = 3
/
ATOMIC_SPECIES
Sb 121.76 Sb.upf
Nd 144.24 Nd.upf
Dy 162.50 Dy.upf
CELL_PARAMETERS angstrom
4.453 0.000 0.000
0.000 4.453 0.000
0.000 0.000 6.298
ATOMIC_POSITIONS angstrom
Sb 2.227 2.227 3.149
Sb 0.000 0.000 0.000
Nd 2.227 2.227 0.000
Dy 0.000 0.000 3.149
! mass density = 7.32 Mg/m³

Most stable = model 2

Model 1:
! Pr3Dy3NiTe2, relaxed, DFT PBE-GGA; values from VASP
&SYSTEM
  ibrav = 0, nat = 9, ntyp = 4
/
ATOMIC_SPECIES
Pr 140.91 Pr.upf
Dy 162.50 Dy.upf
Te 127.60 Te.upf
Ni 58.69 Ni.upf
CELL_PARAMETERS angstrom
-6.586 -1.211 -5.487
-0.706 -2.557 8.241
-1.442 3.492 0.960
ATOMIC_POSITIONS angstrom
Pr -0.893 1.121 2.494
Pr -6.231 -1.101 2.561
Pr -2.331 1.450 -0.861
Dy -3.884 -0.714 -3.236
Dy -2.992 -1.546 1.130
Dy -0.416 -1.508 4.860
Te -3.387 -0.362 4.145
Te -5.347 0.087 -0.431
Ni 0.000 0.000 0.000
! mass density = 8.03 Mg/m³

Model 2:
! Pr3Dy3NiTe2, relaxed, DFT PBE-GGA; values from VASP
&SYSTEM
  ibrav = 0, nat = 9, ntyp = 4
/
ATOMIC_SPECIES
Te 127.60 Te.upf
Dy 162.50 Dy.upf
Pr 140.91 Pr.upf
Ni 58.69 Ni.upf
CELL_PARAMETERS angstrom
8.546 0.000 0.000
-4.273 7.401 0.000
0.000 0.000 4.048
ATOMIC_POSITIONS angstrom
Te 0.000 4.934 2.024
Te 4.273 2.467 2.024
Dy 3.269 5.661 2.024
Dy 2.008 0.000 2.024
Dy -1.004 1.739 2.024
Pr 1.734 3.003 0.000
Pr 5.078 0.000 0.000
Pr -2.539 4.398 0.000
Ni 0.000 0.000 0.000
! mass density = 7.94 Mg/m³

Most stable = model 2

Model 1:
! DyScNi, relaxed, DFT PBE-GGA; values from VASP
&SYSTEM
  ibrav = 0, nat = 3, ntyp = 3
/
ATOMIC_SPECIES
Sc 44.96 Sc.upf
Dy 162.50 Dy.upf
Ni 58.69 Ni.upf
CELL_PARAMETERS angstrom
0.000 3.234 3.234
3.234 0.000 3.234
3.234 3.234 0.000
ATOMIC_POSITIONS angstrom
Sc 4.852 4.852 4.852
Dy 1.617 1.617 1.617
Ni 0.000 0.000 0.000
! mass density = 6.53 Mg/m³

Model 2:
! DyScNi, relaxed, DFT PBE-GGA; values from VASP
&SYSTEM
  ibrav = 0, nat = 3, ntyp = 3
/
ATOMIC_SPECIES
Ni 58.69 Ni.upf
Dy 162.50 Dy.upf
Sc 44.96 Sc.upf
CELL_PARAMETERS angstrom
-1.633 1.465 3.979
-0.233 4.455 0.858
-4.040 2.071 0.173
ATOMIC_POSITIONS angstrom
Ni -1.477 1.998 1.252
Dy 0.000 0.000 0.000
Sc -4.430 5.994 3.757
! mass density = 6.66 Mg/m³

Most stable = model 1